# 1
8
Lattice="-2.009 2.065 3.163 -4.525 -5.764 0.890 2.918 -4.715 4.932" Properties=species:S:1:pos:R:3 comment="CaPr2SmAs4 PBE-GGA optimized geometry" sg="P2/m, No. 10" final_energy_ev_per_atom=-5.702 total_magnetization_mub_per_fu=0.00 dos_ef_per_ev_cell=4.68 e_form_mev_per_atom=-1342 pbc="T T T"
Pr 0.455 -1.325 4.047
Pr 2.918 -4.715 4.932
As 0.052 -3.966 5.516
As -1.176 -7.853 4.380
As -3.668 -4.449 3.468
As -2.440 -0.562 4.604
Sm -3.267 -1.850 2.026
Ca -0.804 -5.240 2.911

***

# 2
8
Lattice="-2.090 1.716 -3.292 2.679 -5.203 -4.413 -4.606 -5.794 -0.096" Properties=species:S:1:pos:R:3 comment="CaTbPr2As4 PBE-GGA optimized geometry" sg="P2/m, No. 10" final_energy_ev_per_atom=-5.691 total_magnetization_mub_per_fu=0.00 dos_ef_per_ev_cell=4.70 e_form_mev_per_atom=-1342 pbc="T T T"
Pr -4.606 -5.794 -0.096
Pr -3.348 -2.039 -1.694
As -2.577 -1.075 -4.438
As -1.440 -8.206 -3.363
As -0.238 -4.491 -4.947
As -3.779 -4.790 -2.854
Ca 0.295 -1.744 -3.852
Tb -0.964 -5.498 -2.254

***

# 3
4
Lattice="4.406 0.000 0.000 2.203 3.816 0.000 2.203 1.272 7.280" Properties=species:S:1:pos:R:3 comment="CaPrTeAs PBE-GGA optimized geometry" sg="R3m, No. 160" final_energy_ev_per_atom=-5.149 e_form_raw_ev_per_atom=-1.51 total_magnetization_mub_per_fu=0.00 pbc="T T T"
Te 6.609 3.816 5.433
As 2.203 1.272 1.787
Pr 6.609 3.816 0.224
Ca 4.406 2.544 3.476

***

- Number 2 is which compound?
  CaTbPr2As4